[1]
# Sr2CaTeO6 GGA-PBEsol optimized geometry
# M_tot: 0.0 μB per cell
# E_form (uncorrected): -2.442 eV per atom
# Crystal system: monoclinic
# DOS(E_F): 0.00 states/eV per cell
data_Sr2CaTeO6
_symmetry_space_group_name_H-M 'P 1 21/c 1'
_symmetry_Int_Tables_number 14
_cell_length_a 5.7725
_cell_length_b 5.8629
_cell_length_c 10.0098
_cell_angle_alpha 90.00
_cell_angle_beta 124.99
_cell_angle_gamma 90.00
loop_
_symmetry_equiv_pos_as_xyz
'x,y,z'
'-x,-y,-z'
'-x,y+1/2,-z+1/2'
'x,-y+1/2,z+1/2'
loop_
_atom_site_label
_atom_site_type_symbol
_atom_site_fract_x
_atom_site_fract_y
_atom_site_fract_z
_atom_site_occupancy
Sr1 Sr 0.2408 0.0396 0.2506 1
Ca1 Ca 0.5000 0.0000 0.0000 1
Te1 Te 0.0000 0.0000 0.5000 1
O1 O 0.1415 0.2324 0.9533 1
O2 O 0.2283 0.6926 0.9606 1
O3 O 0.3094 0.0261 0.7287 1

=====

[2]
# CaLa2Ag GGA-PBEsol optimized geometry
# M_tot: 0.0 μB per cell
# Crystal system: cubic
# E_form: 0.099 eV/atom
# DOS(E_F): 22.02 states/eV per cell
data_CaLa2Ag
_symmetry_space_group_name_H-M 'F m -3 m'
_symmetry_Int_Tables_number 225
_symmetry_space_group_name_Hall '-F 4 2 3'
_cell_length_a 7.8183
_cell_length_b 7.8183
_cell_length_c 7.8183
_cell_angle_alpha 90.00
_cell_angle_beta 90.00
_cell_angle_gamma 90.00
loop_
_atom_site_label
_atom_site_type_symbol
_atom_site_fract_x
_atom_site_fract_y
_atom_site_fract_z
_atom_site_occupancy
Ca1 Ca 0.0000 0.0000 0.0000 1
La1 La 0.2500 0.2500 0.2500 1
Ag1 Ag 0.0000 0.0000 0.5000 1

=====

[3]
# LiReSn3 GGA-PBEsol optimized geometry
# M_tot: 2.9 μB per cell
# Crystal system: cubic
# E_form: 1.164 eV/atom
# DOS(E_F): 3.54 states/eV per cell
data_LiReSn3
_symmetry_space_group_name_H-M 'P m -3 m'
_symmetry_Int_Tables_number 221
_symmetry_space_group_name_Hall '-P 4 2 3'
_cell_length_a 4.7613
_cell_length_b 4.7613
_cell_length_c 4.7613
_cell_angle_alpha 90.00
_cell_angle_beta 90.00
_cell_angle_gamma 90.00
loop_
_atom_site_label
_atom_site_type_symbol
_atom_site_fract_x
_atom_site_fract_y
_atom_site_fract_z
_atom_site_occupancy
Li1 Li 0.0000 0.0000 0.0000 1
Re1 Re 0.5000 0.5000 0.5000 1
Sn1 Sn 0.0000 0.0000 0.5000 1

=====

[4]
# Pr3Lu GGA-PBEsol optimized geometry
# M_tot: 0.0 μB per cell
# Crystal system: hexagonal
# E_form: 0.027 eV/atom
# DOS(E_F): 12.13 states/eV per cell
data_Pr3Lu
_symmetry_space_group_name_H-M 'P 63/m m c'
_symmetry_Int_Tables_number 194
_symmetry_space_group_name_Hall '-P 6c 2c'
_cell_length_a 7.2071
_cell_length_b 7.2071
_cell_length_c 5.7782
_cell_angle_alpha 90.00
_cell_angle_beta 90.00
_cell_angle_gamma 120.00
loop_
_atom_site_label
_atom_site_type_symbol
_atom_site_fract_x
_atom_site_fract_y
_atom_site_fract_z
_atom_site_occupancy
Pr1 Pr 0.1681 0.3362 0.2500 1
Lu1 Lu 0.3333 0.6667 0.7500 1

=====

[5]
# CaScCd2 GGA-PBEsol optimized geometry
# M_tot: 0.0 μB per cell
# Crystal system: monoclinic
# E_form: -0.095 eV/atom
# DOS(E_F): 8.39 states/eV per cell
data_CaScCd2
_symmetry_space_group_name_H-M 'C 1 2/m 1'
_symmetry_Int_Tables_number 12
_cell_length_a 9.6728
_cell_length_b 3.4092
_cell_length_c 6.3113
_cell_angle_alpha 90.00
_cell_angle_beta 100.71
_cell_angle_gamma 90.00
loop_
_symmetry_equiv_pos_as_xyz
'x,y,z'
'-x,-y,-z'
'-x,y,-z'
'x,-y,z'
'x+1/2,y+1/2,z'
'-x+1/2,-y+1/2,-z'
'-x+1/2,y+1/2,-z'
'x+1/2,-y+1/2,z'
loop_
_atom_site_label
_atom_site_type_symbol
_atom_site_fract_x
_atom_site_fract_y
_atom_site_fract_z
_atom_site_occupancy
Ca1 Ca 0.0000 0.0000 0.0000 1
Sc1 Sc 0.0000 0.5000 0.5000 1
Cd1 Cd 0.2448 0.0000 0.7127 1

=====

[6]
# SrTaTe2 GGA-PBEsol optimized geometry
# M_tot: 2.7 μB per cell
# E_form (uncorrected): -0.480 eV per atom
# Crystal system: trigonal
# DOS(E_F): 12.75 states/eV per cell
data_SrTaTe2
_symmetry_space_group_name_H-M 'R -3 m'
_symmetry_Int_Tables_number 166
_symmetry_space_group_name_Hall '-R 3 2"'
_cell_length_a 4.3069
_cell_length_b 4.3069
_cell_length_c 20.5141
_cell_angle_alpha 90.00
_cell_angle_beta 90.00
_cell_angle_gamma 120.00
loop_
_atom_site_label
_atom_site_type_symbol
_atom_site_fract_x
_atom_site_fract_y
_atom_site_fract_z
_atom_site_occupancy
Sr1 Sr 0.0000 0.0000 0.0000 1
Ta1 Ta 0.0000 0.0000 0.5000 1
Te1 Te 0.0000 0.0000 0.2343 1

=====

[7]
# Nb3VS6 GGA-PBEsol optimized geometry
# M_tot: 4.0 μB per cell
# E_form (uncorrected): -1.250 eV per atom
# Crystal system: hexagonal
# DOS(E_F): 0.44 states/eV per cell
data_Nb3VS6
_symmetry_space_group_name_H-M 'P 63 2 2'
_symmetry_Int_Tables_number 182
_symmetry_space_group_name_Hall 'P 6c 2c'
_cell_length_a 5.7335
_cell_length_b 5.7335
_cell_length_c 12.0080
_cell_angle_alpha 90.00
_cell_angle_beta 90.00
_cell_angle_gamma 120.00
loop_
_atom_site_label
_atom_site_type_symbol
_atom_site_fract_x
_atom_site_fract_y
_atom_site_fract_z
_atom_site_occupancy
Nb1 Nb 0.0000 0.0000 0.0000 1
Nb2 Nb 0.3333 0.6667 0.0022 1
V1 V 0.3333 0.6667 0.7500 1
S1 S 0.0018 0.3334 0.8690 1

=====

[8]
# Ba2TaTl GGA-PBEsol optimized geometry
# M_tot: 15.0 μB per cell
# Crystal system: cubic
# E_form: 0.757 eV/atom
# DOS(E_F): 18.76 states/eV per cell
data_Ba2TaTl
_symmetry_space_group_name_H-M 'F -4 3 m'
_symmetry_Int_Tables_number 216
_symmetry_space_group_name_Hall 'F -4 2 3'
_cell_length_a 7.8889
_cell_length_b 7.8889
_cell_length_c 7.8889
_cell_angle_alpha 90.00
_cell_angle_beta 90.00
_cell_angle_gamma 90.00
loop_
_atom_site_label
_atom_site_type_symbol
_atom_site_fract_x
_atom_site_fract_y
_atom_site_fract_z
_atom_site_occupancy
Ba1 Ba 0.0000 0.0000 0.0000 1
Ba2 Ba 0.2500 0.2500 0.2500 1
Ta1 Ta 0.2500 0.2500 0.7500 1
Tl1 Tl 0.0000 0.0000 0.5000 1

=====

[9]
# CaPPt3 GGA-PBEsol optimized geometry
# M_tot: 0.0 μB per cell
# Crystal system: cubic
# E_form: -0.502 eV/atom
# DOS(E_F): 3.48 states/eV per cell
data_CaPPt3
_symmetry_space_group_name_H-M 'P m -3 m'
_symmetry_Int_Tables_number 221
_symmetry_space_group_name_Hall '-P 4 2 3'
_cell_length_a 4.5396
_cell_length_b 4.5396
_cell_length_c 4.5396
_cell_angle_alpha 90.00
_cell_angle_beta 90.00
_cell_angle_gamma 90.00
loop_
_atom_site_label
_atom_site_type_symbol
_atom_site_fract_x
_atom_site_fract_y
_atom_site_fract_z
_atom_site_occupancy
Ca1 Ca 0.0000 0.0000 0.0000 1
P1 P 0.5000 0.5000 0.5000 1
Pt1 Pt 0.0000 0.5000 0.5000 1

=====

[10]
# TlBAsS2 GGA-PBEsol optimized geometry
# M_tot: 0.0 μB per cell
# E_form (uncorrected): 1.454 eV per atom
# Crystal system: tetragonal
# DOS(E_F): 3.11 states/eV per cell
data_TlBAsS2
_symmetry_space_group_name_H-M 'P 4/m m m'
_symmetry_Int_Tables_number 123
_symmetry_space_group_name_Hall '-P 4 2'
_cell_length_a 5.1840
_cell_length_b 5.1840
_cell_length_c 4.1735
_cell_angle_alpha 90.00
_cell_angle_beta 90.00
_cell_angle_gamma 90.00
loop_
_atom_site_label
_atom_site_type_symbol
_atom_site_fract_x
_atom_site_fract_y
_atom_site_fract_z
_atom_site_occupancy
Tl1 Tl 0.0000 0.0000 0.0000 1
B1 B 0.0000 0.0000 0.5000 1
As1 As 0.5000 0.5000 0.5000 1
S1 S 0.0000 0.5000 0.0000 1

=====

[11]
# BeCdNi2 GGA-PBEsol optimized geometry
# M_tot: 0.0 μB per cell
# Crystal system: tetragonal
# E_form: -0.177 eV/atom
# DOS(E_F): 1.15 states/eV per cell
data_BeCdNi2
_symmetry_space_group_name_H-M 'P 4/m m m'
_symmetry_Int_Tables_number 123
_symmetry_space_group_name_Hall '-P 4 2'
_cell_length_a 2.6848
_cell_length_b 2.6848
_cell_length_c 6.4078
_cell_angle_alpha 90.00
_cell_angle_beta 90.00
_cell_angle_gamma 90.00
loop_
_atom_site_label
_atom_site_type_symbol
_atom_site_fract_x
_atom_site_fract_y
_atom_site_fract_z
_atom_site_occupancy
Be1 Be 0.0000 0.0000 0.0000 1
Cd1 Cd 0.0000 0.0000 0.5000 1
Ni1 Ni 0.5000 0.5000 0.1935 1

=====

[12]
# LaTl2ZnAg GGA-PBEsol optimized geometry
# M_tot: 0.0 μB per cell
# Crystal system: tetragonal
# E_form: 0.101 eV/atom
# DOS(E_F): 2.97 states/eV per cell
data_LaTl2ZnAg
_symmetry_space_group_name_H-M 'P 4/m m m'
_symmetry_Int_Tables_number 123
_symmetry_space_group_name_Hall '-P 4 2'
_cell_length_a 5.2800
_cell_length_b 5.2800
_cell_length_c 4.8175
_cell_angle_alpha 90.00
_cell_angle_beta 90.00
_cell_angle_gamma 90.00
loop_
_atom_site_label
_atom_site_type_symbol
_atom_site_fract_x
_atom_site_fract_y
_atom_site_fract_z
_atom_site_occupancy
La1 La 0.0000 0.0000 0.0000 1
Tl1 Tl 0.0000 0.5000 0.5000 1
Zn1 Zn 0.5000 0.5000 0.0000 1
Ag1 Ag 0.5000 0.5000 0.5000 1

=====

[13]
# ZrCrRu GGA-PBEsol optimized geometry
# M_tot: 8.9 μB per cell
# Crystal system: cubic
# E_form: 0.449 eV/atom
# DOS(E_F): 14.45 states/eV per cell
data_ZrCrRu
_symmetry_space_group_name_H-M 'F -4 3 m'
_symmetry_Int_Tables_number 216
_symmetry_space_group_name_Hall 'F -4 2 3'
_cell_length_a 6.0191
_cell_length_b 6.0191
_cell_length_c 6.0191
_cell_angle_alpha 90.00
_cell_angle_beta 90.00
_cell_angle_gamma 90.00
loop_
_atom_site_label
_atom_site_type_symbol
_atom_site_fract_x
_atom_site_fract_y
_atom_site_fract_z
_atom_site_occupancy
Zr1 Zr 0.0000 0.0000 0.0000 1
Cr1 Cr 0.0000 0.0000 0.5000 1
Ru1 Ru 0.2500 0.2500 0.2500 1